Density functional theory data (PBE) for a geometry-optimized SrBi3Br structure. Values from VASP.

crystal system	cubic
density of states at the Fermi level	5.8	states/eV/cell
ΔE to the lowest computed polymorph	470.5	meV per atom
formation energy without anion corrections	0.61	eV per atom
space group	No. 221
VASP energy	-2.39	eV per atom

```
&SYSTEM
  ibrav = 0, nat = 5, ntyp = 3
/
ATOMIC_SPECIES
Sr 87.62 Sr.upf
Bi 208.98 Bi.upf
Br 79.90 Br.upf
ATOMIC_POSITIONS crystal
Sr 0.0000 0.0000 0.0000
Bi 0.0000 0.0000 0.5000
Bi 0.0000 0.5000 0.0000
Bi 0.5000 0.0000 0.0000
Br 0.5000 0.5000 0.5000
CELL_PARAMETERS angstrom
6.1934 0.0000 0.0000
0.0000 6.1934 0.0000
0.0000 0.0000 6.1934
```

Density functional theory data (PBE) for a geometry-optimized Pu2MnSi2Os structure. Values from VASP.

crystal system	monoclinic
density of states at the Fermi level	32.0	states/eV/cell
formation energy without anion corrections	-0.40	eV per atom
space group	No. 15
VASP energy	-10.38	eV per atom

```
&SYSTEM
  ibrav = 0, nat = 12, ntyp = 4
/
ATOMIC_SPECIES
Pu 244.00 Pu.upf
Mn 54.94 Mn.upf
Si 28.09 Si.upf
Os 190.23 Os.upf
ATOMIC_POSITIONS crystal
Pu 0.0735 0.5958 0.8349
Pu 0.4042 0.9265 0.6651
Pu 0.5958 0.0735 0.3349
Pu 0.9265 0.4042 0.1651
Mn 0.0000 0.0000 0.2500
Mn 0.0000 0.0000 0.7500
Si 0.1505 0.6489 0.3999
Si 0.3511 0.8495 0.1001
Si 0.6489 0.1505 0.8999
Si 0.8495 0.3511 0.6001
Os 0.5000 0.5000 0.2500
Os 0.5000 0.5000 0.7500
CELL_PARAMETERS angstrom
7.2721 -2.8817 0.0000
7.2721 2.8817 0.0000
-2.3069 0.0000 5.3214
```

Density functional theory data (PBE) for a geometry-optimized LaHo7Cd2 structure. Values from VASP.

crystal system	orthorhombic
energy relative to the elements	413	meV per atom
density of states at the Fermi level	21.0	states/eV/cell
space group	No. 65
VASP energy	-3.47	eV per atom

```
&SYSTEM
  ibrav = 0, nat = 10, ntyp = 3
/
ATOMIC_SPECIES
La 138.91 La.upf
Ho 164.93 Ho.upf
Cd 112.41 Cd.upf
ATOMIC_POSITIONS crystal
La 0.0000 0.0000 0.0000
Ho 0.0590 0.3030 0.5000
Ho 0.2422 0.7578 0.0000
Ho 0.3030 0.0590 0.5000
Ho 0.5000 0.5000 0.5000
Ho 0.6970 0.9410 0.5000
Ho 0.7578 0.2422 0.0000
Ho 0.9410 0.6970 0.5000
Cd 0.3027 0.6973 0.5000
Cd 0.6973 0.3027 0.5000
CELL_PARAMETERS angstrom
4.5075 -7.5259 0.0000
4.5075 7.5259 0.0000
0.0000 0.0000 5.4967
```

Density functional theory data (PBE) for a geometry-optimized PdWBr3 structure. Values from VASP.

crystal system	cubic
density of states at the Fermi level	6.9	states/eV/cell
ΔE to the lowest computed polymorph	0.0	meV per atom
formation energy without anion corrections	0.68	eV per atom
space group	No. 221
VASP energy	-3.95	eV per atom

```
&SYSTEM
  ibrav = 0, nat = 5, ntyp = 3
/
ATOMIC_SPECIES
Pd 106.42 Pd.upf
W 183.84 W.upf
Br 79.90 Br.upf
ATOMIC_POSITIONS crystal
Pd 0.0000 0.0000 0.0000
W 0.5000 0.5000 0.5000
Br 0.0000 0.5000 0.5000
Br 0.5000 0.0000 0.5000
Br 0.5000 0.5000 0.0000
CELL_PARAMETERS angstrom
5.1381 0.0000 0.0000
0.0000 5.1381 0.0000
0.0000 0.0000 5.1381
```

Density functional theory data (PBE) for a geometry-optimized Ce3Pu2PaP6 structure. Values from VASP.

crystal system	monoclinic
energy relative to the elements	-1366	meV per atom
density of states at the Fermi level	26.1	states/eV/cell
space group	No. 12
VASP energy	-8.73	eV per atom

```
&SYSTEM
  ibrav = 0, nat = 12, ntyp = 4
/
ATOMIC_SPECIES
Ce 140.12 Ce.upf
Pu 244.00 Pu.upf
Pa 231.04 Pa.upf
P 30.97 P.upf
ATOMIC_POSITIONS crystal
Ce 0.0000 0.0000 0.0000
Ce 0.3323 0.6677 0.0000
Ce 0.6677 0.3323 0.0000
Pu 0.1665 0.8335 0.5000
Pu 0.8335 0.1665 0.5000
Pa 0.5000 0.5000 0.5000
P 0.0897 0.4196 0.2587
P 0.2509 0.2509 0.7419
P 0.4196 0.0897 0.2587
P 0.5804 0.9103 0.7413
P 0.7491 0.7491 0.2581
P 0.9103 0.5804 0.7413
CELL_PARAMETERS angstrom
3.4994 -6.0593 0.0000
3.4994 6.0593 0.0000
-2.3308 0.0000 6.6070
```

Density functional theory data (PBE) for a geometry-optimized SrHPd2 structure. Values from VASP.

crystal system	cubic
density of states at the Fermi level	4.8	states/eV/cell
ΔE to the lowest computed polymorph	827.3	meV per atom
space group	No. 225
VASP energy	-3.57	eV per atom

```
&SYSTEM
  ibrav = 0, nat = 16, ntyp = 3
/
ATOMIC_SPECIES
Sr 87.62 Sr.upf
H 1.01 H.upf
Pd 106.42 Pd.upf
ATOMIC_POSITIONS crystal
Sr 0.0000 0.0000 0.0000
Sr 0.0000 0.5000 0.5000
Sr 0.5000 0.0000 0.5000
Sr 0.5000 0.5000 0.0000
H 0.0000 0.0000 0.5000
H 0.0000 0.5000 0.0000
H 0.5000 0.0000 0.0000
H 0.5000 0.5000 0.5000
Pd 0.2500 0.2500 0.2500
Pd 0.2500 0.2500 0.7500
Pd 0.2500 0.7500 0.2500
Pd 0.2500 0.7500 0.7500
Pd 0.7500 0.2500 0.2500
Pd 0.7500 0.2500 0.7500
Pd 0.7500 0.7500 0.2500
Pd 0.7500 0.7500 0.7500
CELL_PARAMETERS angstrom
6.6218 0.0000 0.0000
0.0000 6.6218 0.0000
0.0000 0.0000 6.6218
```

Density functional theory data (PBE) for a geometry-optimized In2AgIrF structure. Values from VASP.

crystal system	tetragonal
density of states at the Fermi level	2.2	states/eV/cell
formation energy without anion corrections	-0.07	eV per atom
space group	No. 123
VASP energy	-3.89	eV per atom

```
&SYSTEM
  ibrav = 0, nat = 5, ntyp = 4
/
ATOMIC_SPECIES
In 114.82 In.upf
Ag 107.87 Ag.upf
Ir 192.22 Ir.upf
F 19.00 F.upf
ATOMIC_POSITIONS crystal
In 0.0000 0.5000 0.0000
In 0.5000 0.0000 0.0000
Ag 0.0000 0.0000 0.5000
Ir 0.5000 0.5000 0.0000
F 0.5000 0.5000 0.5000
CELL_PARAMETERS angstrom
5.2593 0.0000 0.0000
0.0000 5.2593 0.0000
0.0000 0.0000 4.1067
```

Density functional theory data (PBE) for a geometry-optimized LiSm2Ga5Ni2 structure. Values from VASP.

crystal system	tetragonal
energy relative to the elements	-533	meV per atom
density of states at the Fermi level	11.0	states/eV/cell
space group	No. 127
VASP energy	-4.34	eV per atom

```
&SYSTEM
  ibrav = 0, nat = 20, ntyp = 4
/
ATOMIC_SPECIES
Li 6.94 Li.upf
Sm 150.36 Sm.upf
Ga 69.72 Ga.upf
Ni 58.69 Ni.upf
ATOMIC_POSITIONS crystal
Li 0.0000 0.0000 0.0000
Li 0.5000 0.5000 0.0000
Sm 0.1845 0.3155 0.0000
Sm 0.3155 0.8155 0.0000
Sm 0.6845 0.1845 0.0000
Sm 0.8155 0.6845 0.0000
Ga 0.0000 0.5000 0.5000
Ga 0.0596 0.7859 0.5000
Ga 0.2141 0.0596 0.5000
Ga 0.2859 0.5596 0.5000
Ga 0.4404 0.2859 0.5000
Ga 0.5000 0.0000 0.5000
Ga 0.5596 0.7141 0.5000
Ga 0.7141 0.4404 0.5000
Ga 0.7859 0.9404 0.5000
Ga 0.9404 0.2141 0.5000
Ni 0.1103 0.6103 0.0000
Ni 0.3897 0.1103 0.0000
Ni 0.6103 0.8897 0.0000
Ni 0.8897 0.3897 0.0000
CELL_PARAMETERS angstrom
9.4341 0.0000 0.0000
0.0000 9.4341 0.0000
0.0000 0.0000 4.0320
```

Density functional theory data (PBE) for a geometry-optimized K2RbNbS4 structure. Values from VASP.

crystal system	triclinic
density of states at the Fermi level	0.0	states/eV/cell
formation energy without anion corrections	-1.14	eV per atom
space group	No. 1
VASP energy	-4.86	eV per atom

```
&SYSTEM
  ibrav = 0, nat = 16, ntyp = 4
/
ATOMIC_SPECIES
K 39.10 K.upf
Rb 85.47 Rb.upf
Nb 92.91 Nb.upf
S 32.06 S.upf
ATOMIC_POSITIONS crystal
K 0.0000 0.0000 0.0000
K 0.0022 0.4987 0.0740
K 0.4994 0.9852 0.0150
K 0.9953 0.9281 0.5040
Rb 0.0001 0.4529 0.5474
Rb 0.4998 0.4809 0.5188
Nb 0.4896 0.5930 0.9243
Nb 0.5103 0.0753 0.4063
S 0.2479 0.1818 0.3047
S 0.2620 0.7245 0.7863
S 0.3076 0.6517 0.1892
S 0.3715 0.1251 0.6734
S 0.6295 0.3256 0.8738
S 0.6922 0.8100 0.3471
S 0.7375 0.2135 0.2751
S 0.7513 0.6951 0.8186
CELL_PARAMETERS angstrom
7.8335 0.0000 0.0000
3.8828 8.1972 0.0000
3.8765 1.4292 8.0838
```

Density functional theory data (PBE) for a geometry-optimized Pr2TmZr structure. Values from VASP.

crystal system	tetragonal
energy relative to the elements	131	meV per atom
density of states at the Fermi level	4.7	states/eV/cell
ΔE to the lowest computed polymorph	0.0	meV per atom
space group	No. 123
VASP energy	-5.51	eV per atom

```
&SYSTEM
  ibrav = 0, nat = 4, ntyp = 3
/
ATOMIC_SPECIES
Pr 140.91 Pr.upf
Tm 168.93 Tm.upf
Zr 91.22 Zr.upf
ATOMIC_POSITIONS crystal
Pr 0.0000 0.5000 0.0000
Pr 0.5000 0.0000 0.0000
Tm 0.0000 0.0000 0.5000
Zr 0.5000 0.5000 0.5000
CELL_PARAMETERS angstrom
4.9793 0.0000 0.0000
0.0000 4.9793 0.0000
0.0000 0.0000 4.9186
```

Density functional theory data (PBE) for a geometry-optimized Tm6Te3As2Se structure. Values from VASP.

crystal system	monoclinic
density of states at the Fermi level	4.6	states/eV/cell
formation energy without anion corrections	-1.44	eV per atom
space group	No. 12
VASP energy	-5.52	eV per atom

```
&SYSTEM
  ibrav = 0, nat = 12, ntyp = 4
/
ATOMIC_SPECIES
Tm 168.93 Tm.upf
Te 127.60 Te.upf
As 74.92 As.upf
Se 78.96 Se.upf
ATOMIC_POSITIONS crystal
Tm 0.0096 0.0096 0.2345
Tm 0.3249 0.3249 0.4361
Tm 0.3380 0.3380 0.8938
Tm 0.6620 0.6620 0.1062
Tm 0.6751 0.6751 0.5639
Tm 0.9904 0.9904 0.7655
Te 0.1649 0.1649 0.8333
Te 0.5000 0.5000 0.5000
Te 0.8351 0.8351 0.1667
As 0.1666 0.1666 0.3330
As 0.8334 0.8334 0.6670
Se 0.5000 0.5000 0.0000
CELL_PARAMETERS angstrom
9.1793 -2.0710 0.0000
9.1793 2.0710 0.0000
-2.1725 0.0000 8.1471
```

Q: Look up the VASP energy of the tenth one.
A: -5.51 eV per atom